Entry 1:
Density functional theory data (GGA-PBE) for crystalline Sr3Ni5H12 at its relaxed geometry. Values from VASP.

As for the density of states at the Fermi level: 23.68 states/eV per cell. Its total energy is -3.8501 eV/atom. Its volume is 800.23 Å³/cell.

Geometry as Quantum ESPRESSO input:
```
&SYSTEM
  ibrav = 0, nat = 80, ntyp = 3
/
ATOMIC_SPECIES
Sr 87.62 Sr.upf
Ni 58.69 Ni.upf
H 1.01 H.upf
CELL_PARAMETERS angstrom
-3.9384 -7.0294 -6.1397
3.3658 -4.4187 8.4714
-7.1239 6.8097 2.3445
ATOMIC_POSITIONS crystal
Sr 0.7500 0.3750 0.1250
Sr 0.8750 0.7500 0.1250
Sr 0.3750 0.7500 0.6250
Sr 0.2500 0.1250 0.3750
Sr 0.8750 0.1250 0.2500
Sr 0.3750 0.6250 0.2500
Sr 0.6250 0.3750 0.7500
Sr 0.1250 0.8750 0.7500
Sr 0.7500 0.8750 0.6250
Sr 0.6250 0.2500 0.3750
Sr 0.1250 0.2500 0.8750
Sr 0.2500 0.6250 0.8750
Ni 0.1250 0.3750 0.2500
Ni 0.0000 0.5000 0.0000
Ni 0.0000 0.0000 0.0000
Ni 0.3750 0.2500 0.1250
Ni 0.5000 0.0000 0.5000
Ni 0.5000 0.5000 0.0000
Ni 0.1250 0.7500 0.3750
Ni 0.7500 0.1250 0.8750
Ni 0.7500 0.6250 0.3750
Ni 0.3750 0.1250 0.7500
Ni 0.6250 0.8750 0.2500
Ni 0.5000 0.5000 0.5000
Ni 0.5000 0.0000 0.0000
Ni 0.0000 0.0000 0.5000
Ni 0.2500 0.3750 0.6250
Ni 0.2500 0.8750 0.1250
Ni 0.0000 0.5000 0.5000
Ni 0.8750 0.2500 0.6250
Ni 0.6250 0.7500 0.8750
Ni 0.8750 0.6250 0.7500
H 0.6707 0.0905 0.9912
H 0.3206 0.4912 0.4007
H 0.0088 0.4095 0.3293
H 0.4912 0.1707 0.0905
H 0.5801 0.6707 0.6794
H 0.0088 0.5993 0.1794
H 0.3206 0.8293 0.4199
H 0.0993 0.9199 0.0905
H 0.5993 0.0088 0.6794
H 0.6707 0.5801 0.1794
H 0.8293 0.5088 0.4095
H 0.8206 0.9007 0.9912
H 0.0905 0.6707 0.4912
H 0.4095 0.4007 0.0801
H 0.0801 0.9007 0.4095
H 0.4199 0.0905 0.5993
H 0.0801 0.1794 0.1707
H 0.5088 0.6794 0.0993
H 0.8206 0.9199 0.3293
H 0.0905 0.4199 0.0993
H 0.4095 0.0088 0.8293
H 0.5993 0.5905 0.4199
H 0.9007 0.8206 0.4912
H 0.8293 0.3206 0.9199
H 0.4007 0.4095 0.5801
H 0.0993 0.1794 0.5088
H 0.1707 0.6794 0.0801
H 0.1794 0.0801 0.6707
H 0.5905 0.9912 0.1707
H 0.9095 0.5801 0.9007
H 0.4912 0.3206 0.9007
H 0.5801 0.9095 0.4007
H 0.9199 0.8206 0.8293
H 0.9199 0.0993 0.5905
H 0.9095 0.3293 0.5088
H 0.1794 0.0993 0.0088
H 0.5905 0.5993 0.9199
H 0.4007 0.9912 0.3206
H 0.3293 0.4199 0.8206
H 0.1707 0.4912 0.5905
H 0.9007 0.0801 0.9095
H 0.6794 0.1707 0.5801
H 0.5088 0.8293 0.9095
H 0.9912 0.4007 0.8206
H 0.4199 0.3293 0.3206
H 0.9912 0.5905 0.6707
H 0.6794 0.5088 0.5993
H 0.3293 0.9095 0.0088
```

Entry 2:
Density functional theory data (GGA-PBE) for crystalline SrNi2H at its relaxed geometry. Values from VASP.

As for the density of states at the Fermi level: 0.35 states/eV per cell. The excess energy over the best structure of this formula in the dataset comes out at 0 meV/atom. Its total energy is -4.2594 eV/atom. Its volume is 113.45 Å³/cell.

Geometry as Quantum ESPRESSO input:
```
&SYSTEM
  ibrav = 0, nat = 8, ntyp = 3
/
ATOMIC_SPECIES
Sr 87.62 Sr.upf
H 1.01 H.upf
Ni 58.69 Ni.upf
CELL_PARAMETERS angstrom
-5.0311 -0.1467 -2.0399
1.4999 -3.9471 -3.4154
-2.7503 -4.6869 -0.1092
ATOMIC_POSITIONS crystal
Sr 0.0000 0.0000 0.0000
Sr 0.7500 0.2500 0.5000
H 0.5000 0.5000 0.0000
H 0.2500 0.7500 0.5000
Ni 0.3750 0.1250 0.2500
Ni 0.3750 0.6250 0.2500
Ni 0.3750 0.6250 0.7500
Ni 0.8750 0.6250 0.7500
```

Entry 3:
Density functional theory data (GGA-PBE) for crystalline Sr5Ni2H12 at its relaxed geometry. Values from VASP.

As for the density of states at the Fermi level: 4.73 states/eV per cell. Its total energy is -3.4889 eV/atom. Its volume is 273.25 Å³/cell.

Geometry as Quantum ESPRESSO input:
```
&SYSTEM
  ibrav = 0, nat = 19, ntyp = 3
/
ATOMIC_SPECIES
Sr 87.62 Sr.upf
Ni 58.69 Ni.upf
H 1.01 H.upf
CELL_PARAMETERS angstrom
5.9408 0.0000 0.0000
-2.9704 6.1733 -0.0736
0.0000 -2.2521 7.4777
ATOMIC_POSITIONS crystal
Sr 0.3346 0.6692 0.6602
Sr 0.3018 0.6037 0.1508
Sr 0.0000 0.0000 0.5000
Sr 0.6982 0.3963 0.8492
Sr 0.6654 0.3308 0.3398
Ni 0.7578 0.0000 0.0000
Ni 0.2422 0.0000 0.0000
H 0.0021 0.0041 0.1304
H 0.1205 0.7151 0.9296
H 0.5945 0.7151 0.9296
H 0.0801 0.6708 0.4114
H 0.5906 0.6708 0.4114
H 0.5093 0.0187 0.8844
H 0.4907 0.9813 0.1156
H 0.9199 0.3292 0.5886
H 0.4094 0.3292 0.5886
H 0.8795 0.2849 0.0704
H 0.4055 0.2849 0.0704
H 0.9979 0.9959 0.8696
```

Entry 4:
Density functional theory data (GGA-PBE) for crystalline SrNi4H8 at its relaxed geometry. Values from VASP.

As for the density of states at the Fermi level: 3.69 states/eV per cell. Its total energy is -4.1338 eV/atom. Its volume is 131.56 Å³/cell.

Geometry as Quantum ESPRESSO input:
```
&SYSTEM
  ibrav = 0, nat = 13, ntyp = 3
/
ATOMIC_SPECIES
Sr 87.62 Sr.upf
Ni 58.69 Ni.upf
H 1.01 H.upf
CELL_PARAMETERS angstrom
-4.9804 -0.5772 1.3437
-3.1569 -2.9041 -2.9228
-1.3618 -5.7031 2.5284
ATOMIC_POSITIONS crystal
Sr 0.5000 0.5000 0.5000
Ni 0.5000 0.0000 0.0000
Ni 0.5000 0.5000 0.0000
Ni 0.0000 0.5000 0.0000
Ni 0.0000 0.0000 0.0000
H 0.7872 0.2804 0.1451
H 0.7196 0.2128 0.8549
H 0.2128 0.7196 0.8549
H 0.2128 0.2128 0.8549
H 0.2828 0.2828 0.1516
H 0.7172 0.7172 0.8484
H 0.7872 0.7872 0.1451
H 0.2804 0.7872 0.1451
```

Entry 5:
Density functional theory data (GGA-PBE) for crystalline SrNi2H8 at its relaxed geometry. Values from VASP.

As for the density of states at the Fermi level: 2.76 states/eV per cell. The excess energy over the best structure of this formula in the dataset comes out at 51 meV/atom. Its total energy is -3.6689 eV/atom. Its volume is 91.77 Å³/cell.

Geometry as Quantum ESPRESSO input:
```
&SYSTEM
  ibrav = 0, nat = 11, ntyp = 3
/
ATOMIC_SPECIES
Sr 87.62 Sr.upf
Ni 58.69 Ni.upf
H 1.01 H.upf
CELL_PARAMETERS angstrom
3.8927 0.0000 -1.4064
-0.5081 3.8594 -1.4064
0.0049 0.0055 6.1040
ATOMIC_POSITIONS crystal
Sr 0.5000 0.5000 0.0000
Ni 0.2500 0.7500 0.5000
Ni 0.7500 0.2500 0.5000
H 0.9448 0.9448 0.3433
H 0.0552 0.0552 0.6567
H 0.6015 0.6015 0.6567
H 0.6015 0.0552 0.6567
H 0.3985 0.3985 0.3433
H 0.3985 0.9448 0.3433
H 0.9448 0.3985 0.3433
H 0.0552 0.6015 0.6567
```

Entry 6:
Density functional theory data (GGA-PBE) for crystalline Sr12Ni3H5 at its relaxed geometry. Values from VASP.

As for the density of states at the Fermi level: 39.30 states/eV per cell. Its total energy is -2.8432 eV/atom. Its volume is 2336.96 Å³/cell.

Geometry as Quantum ESPRESSO input:
```
&SYSTEM
  ibrav = 0, nat = 80, ntyp = 3
/
ATOMIC_SPECIES
Ni 58.69 Ni.upf
H 1.01 H.upf
Sr 87.62 Sr.upf
CELL_PARAMETERS angstrom
-10.9439 -6.6475 6.7603
6.2136 -9.1849 -9.3107
9.7807 4.3342 9.7577
ATOMIC_POSITIONS crystal
Ni 0.7500 0.3750 0.1250
Ni 0.8750 0.7500 0.1250
Ni 0.3750 0.7500 0.6250
Ni 0.2500 0.1250 0.3750
Ni 0.8750 0.1250 0.2500
Ni 0.3750 0.6250 0.2500
Ni 0.6250 0.3750 0.7500
Ni 0.1250 0.8750 0.7500
Ni 0.7500 0.8750 0.6250
Ni 0.6250 0.2500 0.3750
Ni 0.1250 0.2500 0.8750
Ni 0.2500 0.6250 0.8750
H 0.1250 0.3750 0.2500
H 0.0000 0.5000 0.0000
H 0.0000 0.0000 0.0000
H 0.3750 0.2500 0.1250
H 0.5000 0.0000 0.5000
H 0.5000 0.5000 0.0000
H 0.1250 0.7500 0.3750
H 0.7500 0.1250 0.8750
H 0.7500 0.6250 0.3750
H 0.3750 0.1250 0.7500
H 0.6250 0.8750 0.2500
H 0.5000 0.5000 0.5000
H 0.5000 0.0000 0.0000
H 0.0000 0.0000 0.5000
H 0.2500 0.3750 0.6250
H 0.2500 0.8750 0.1250
H 0.0000 0.5000 0.5000
H 0.8750 0.2500 0.6250
H 0.6250 0.7500 0.8750
H 0.8750 0.6250 0.7500
Sr 0.7137 0.1249 0.0274
Sr 0.3137 0.5274 0.4025
Sr 0.9726 0.3751 0.2863
Sr 0.5274 0.2137 0.1249
Sr 0.5887 0.7137 0.6863
Sr 0.9726 0.5975 0.1863
Sr 0.3137 0.7863 0.4113
Sr 0.0975 0.9113 0.1249
Sr 0.5975 0.9726 0.6863
Sr 0.7137 0.5887 0.1863
Sr 0.7863 0.4726 0.3751
Sr 0.8137 0.9025 0.0274
Sr 0.1249 0.7137 0.5274
Sr 0.3751 0.4025 0.0887
Sr 0.0887 0.9025 0.3751
Sr 0.4113 0.1249 0.5975
Sr 0.0887 0.1863 0.2137
Sr 0.4726 0.6863 0.0975
Sr 0.8137 0.9113 0.2863
Sr 0.1249 0.4113 0.0975
Sr 0.3751 0.9726 0.7863
Sr 0.5975 0.6249 0.4113
Sr 0.9025 0.8137 0.5274
Sr 0.7863 0.3137 0.9113
Sr 0.4025 0.3751 0.5887
Sr 0.0975 0.1863 0.4726
Sr 0.2137 0.6863 0.0887
Sr 0.1863 0.0887 0.7137
Sr 0.6249 0.0274 0.2137
Sr 0.8751 0.5887 0.9025
Sr 0.5274 0.3137 0.9025
Sr 0.5887 0.8751 0.4025
Sr 0.9113 0.8137 0.7863
Sr 0.9113 0.0975 0.6249
Sr 0.8751 0.2863 0.4726
Sr 0.1863 0.0975 0.9726
Sr 0.6249 0.5975 0.9113
Sr 0.4025 0.0274 0.3137
Sr 0.2863 0.4113 0.8137
Sr 0.2137 0.5274 0.6249
Sr 0.9025 0.0887 0.8751
Sr 0.6863 0.2137 0.5887
Sr 0.4726 0.7863 0.8751
Sr 0.0274 0.4025 0.8137
Sr 0.4113 0.2863 0.3137
Sr 0.0274 0.6249 0.7137
Sr 0.6863 0.4726 0.5975
Sr 0.2863 0.8751 0.9726
```